# 1
Computed, not measured: Sc3Al2 at its PBEsol-relaxed geometry at the meta-GGA SCAN level of DFT.

Lattice parameters (Å, degrees): 4.6455 4.6455 5.8278 90.00 90.00 120.00
Space group P-3m1 (No. 164)
Asymmetric unit:
Sc: 0.0000 0.0000 0.0000
Sc: 0.3333 0.6667 0.3547
Al: 0.3333 0.6667 0.8468

Computed properties:
Crystal system ... trigonal
Fermi-level density of states ... 6.41 states/eV/cell
DFT formation energy ... -0.160 eV per atom
Magnetic moment ... 0.00 μB/f.u.

---

# 2
Computed, not measured: CaZr3I at its PBEsol-relaxed geometry at the meta-GGA SCAN level of DFT.

Lattice parameters (Å, degrees): 5.275 5.275 5.275 90.00 90.00 90.00
Space group Pm-3m (No. 221)
Asymmetric unit:
Ca: 0.000 0.000 0.000
Zr: 0.000 0.500 0.500
I: 0.500 0.500 0.500

Computed properties:
Crystal system ... cubic
Fermi-level density of states ... 4.74 states/eV/cell
Formation energy (no corrections) ... 0.616 eV/atom
Magnetic moment ... 0.18 μB/f.u.

---

# 3
Computed, not measured: BaZr2BiSe at its PBEsol-relaxed geometry at the meta-GGA SCAN level of DFT.

Lattice parameters (Å, degrees): 5.285 5.285 5.993 90.00 90.00 90.00
Space group P4/mmm (No. 123)
Asymmetric unit:
Ba: 0.000 0.000 0.000
Zr: 0.000 0.500 0.000
Bi: 0.000 0.000 0.500
Se: 0.500 0.500 0.500

Computed properties:
Crystal system ... tetragonal
Fermi-level density of states ... 5.53 states/eV/cell
Formation energy (no corrections) ... 1.766 eV/atom
Magnetic moment ... 0.00 μB/f.u.

---

# 4
Computed, not measured: TaTe4I at its PBEsol-relaxed geometry at the meta-GGA SCAN level of DFT.

Lattice parameters (Å, degrees): 6.636 7.718 8.662 113.01 102.14 101.59
Space group P-1 (No. 2)
Asymmetric unit:
Ta: 0.249 0.001 0.499
Te: 0.025 0.868 0.699
Te: 0.126 0.337 0.679
Te: 0.384 0.855 0.195
Te: 0.453 0.735 0.566
I: 0.245 0.391 0.067

Computed properties:
Crystal system ... triclinic
Formation energy (no corrections) ... -0.275 eV/atom
Magnetic moment ... 0.00 μB/f.u.

---

# 5
Computed, not measured: Li3TeRh at its PBEsol-relaxed geometry at the meta-GGA SCAN level of DFT.

Lattice parameters (Å, degrees): 4.536 4.536 4.536 90.00 90.00 90.00
Space group Pm-3m (No. 221)
Asymmetric unit:
Li: 0.000 0.000 0.500
Te: 0.500 0.500 0.500
Rh: 0.000 0.000 0.000

Computed properties:
Crystal system ... cubic
Fermi-level density of states ... 2.30 states/eV/cell
Formation energy (no corrections) ... 0.097 eV/atom
Magnetic moment ... 1.05 μB/f.u.

---

# 6
Computed, not measured: Zn3Co4 at its PBEsol-relaxed geometry at the meta-GGA SCAN level of DFT.

Lattice parameters (Å, degrees): 2.594 2.594 23.858 90.00 90.00 90.00
Space group I4/mmm (No. 139)
Asymmetric unit:
Zn: 0.000 0.000 0.000
Zn: 0.000 0.000 0.292
Co: 0.000 0.000 0.135
Co: 0.000 0.000 0.427

Computed properties:
Crystal system ... tetragonal
Fermi-level density of states ... 6.86 states/eV/cell
DFT formation energy ... 0.013 eV per atom
Magnetic moment ... 6.42 μB/f.u.

---

# 7
Computed, not measured: TeRu2Cl at its PBEsol-relaxed geometry at the meta-GGA SCAN level of DFT.

Lattice parameters (Å, degrees): 3.145 5.460 8.027 90.00 90.00 90.00
Space group Cmmm (No. 65)
Asymmetric unit:
Te: 0.000 0.000 0.000
Ru: 0.000 0.500 0.245
Cl: 0.000 0.000 0.500

Computed properties:
Crystal system ... orthorhombic
Fermi-level density of states ... 7.61 states/eV/cell
E above lowest polymorph ... 0 meV per atom
Formation energy (no corrections) ... 0.717 eV/atom
Magnetic moment ... 0.00 μB/f.u.

---

# 8
Computed, not measured: Al2OsSe at its PBEsol-relaxed geometry at the meta-GGA SCAN level of DFT.

Lattice parameters (Å, degrees): 9.044 3.234 4.622 90.00 117.09 90.00
Space group C2/m (No. 12)
Asymmetric unit:
Al: 0.247 0.000 0.255
Os: 0.000 0.000 0.500
Se: 0.000 0.500 0.000

Computed properties:
Crystal system ... monoclinic
Fermi-level density of states ... 0.86 states/eV/cell
Formation energy (no corrections) ... 0.017 eV/atom
Magnetic moment ... 0.00 μB/f.u.

---

The records above give, respectively, energy values of -59.01; -135.42; -190.78; -507.96; -77.71; -219.35; -224.03; -214.79 eV/cell.
The records above give, respectively, V values of 21.78; 29.36; 33.48; 31.58; 18.66; 11.47; 17.23; 15.04 A^3/atom.